The following is a PBE-GGA calculation of an optimized crystal structure of AcNd4Sm4, from Alexandria via LeMat-Bulk.

Structure (extended XYZ):
```
18
Lattice="1.887 8.814 -3.778 -6.477 -8.969 -0.673 -4.982 2.116 9.671" Properties=species:S:1:pos:R:3 pbc="T T T"
Ac -5.675 0.661 5.049
Ac -3.898 1.300 0.171
Nd -7.301 -4.113 3.859
Nd -7.152 4.080 4.967
Nd -2.347 8.161 4.437
Nd -2.450 -0.031 3.306
Nd -7.123 1.991 1.914
Nd -7.226 -6.201 0.783
Nd -2.421 -2.119 0.253
Nd -2.272 6.073 1.362
Sm -7.374 -2.080 6.913
Sm -5.548 -3.519 -1.052
Sm -3.948 3.434 3.241
Sm -5.677 2.770 8.111
Sm -5.625 -1.474 1.979
Sm -3.895 -0.810 -2.891
Sm -2.198 4.040 -1.692
Sm -4.025 5.480 6.272
```

- volume (Å³ per cell) = 641.27
- N(E_F) (states/eV per cell) = 28.5
- DFT formation energy (eV per atom) = 0.023